DFT (GGA+U) results for a geometry-optimized VCoCuF6 structure.

Cell: 5.2947 5.2947 9.0856 Å, 90.00 90.00 120.00°
Space group P-31c (No. 163)
One atom of each set of equivalent atoms:
V 0.3333 0.6667 0.2500 x2
Co 0.3333 0.6667 0.7500 x2
Cu 0.0000 0.0000 0.0000 x2
F 0.0043 0.3464 0.1309 x12

## Properties
Its density of states at the Fermi level is 24.4 states/eV/cell. The value obtained for the energy is -92.1 eV/cell.